Record 1
Here is a relaxed structure of NaTlZn2 from the Alexandria database. Energies are from GGA-PBE.

Unit cell a=4.370 b=4.370 c=4.595 alpha=90.00 beta=90.00 gamma=90.00
Fractional coordinates of all 4 atoms:
Na1 0.000 0.000 0.000
Tl1 0.500 0.500 0.000
Zn1 0.000 0.500 0.500
Zn2 0.500 0.000 0.500

Summary:
M_tot: 0.000 μB per formula unit
Formation energy: 0.09 eV per atom
SG: No. 123
Calculated volume: 88 Å³/f.u.

=====

Record 2
Here is a relaxed structure of La2SiOs from the Alexandria database. Energies are from GGA-PBE.

Unit cell a=6.491 b=6.491 c=6.491 alpha=103.32 beta=103.32 gamma=122.62
Fractional coordinates of all 8 atoms:
La1 0.080 0.625 0.955
La2 0.375 0.330 0.455
La3 0.670 0.125 0.045
La4 0.875 0.920 0.545
Si1 0.250 0.750 0.500
Si2 0.500 0.500 0.000
Os1 0.000 0.000 0.000
Os2 0.750 0.250 0.500

Summary:
M_tot: 0.000 μB per formula unit
SG: No. 122
Calculated volume: 101 Å³/f.u.
Formation energy without anion corrections: 48.1 kJ/mol of formula units

=====

Record 3
Here is a relaxed structure of La3Zn2Cu from the Alexandria database. Energies are from GGA-PBE.

Unit cell a=8.321 b=8.321 c=3.738 alpha=90.00 beta=90.00 gamma=143.03
Fractional coordinates of all 6 atoms:
La1 0.000 0.000 0.000
La2 0.339 0.661 0.000
La3 0.661 0.339 0.000
Zn1 0.174 0.826 0.500
Zn2 0.826 0.174 0.500
Cu1 0.500 0.500 0.500

Summary:
M_tot: 0.000 μB per formula unit
Formation energy: -0.25 eV per atom
SG: No. 65
Calculated volume: 156 Å³/f.u.

=====

Record 4
Here is a relaxed structure of Cs4Pa3PdO12 from the Alexandria database. Energies are from GGA-PBE.

Unit cell a=7.577 b=7.577 c=7.577 alpha=109.47 beta=109.47 gamma=109.47
Fractional coordinates of all 20 atoms:
Cs1 0.000 0.000 0.500
Cs2 0.000 0.500 0.000
Cs3 0.500 0.000 0.000
Cs4 0.500 0.500 0.500
Pa1 0.000 0.500 0.500
Pa2 0.500 0.000 0.500
Pa3 0.500 0.500 0.000
Pd1 0.000 0.000 0.000
O1 0.000 0.247 0.247
O2 0.000 0.753 0.753
O3 0.247 0.000 0.247
O4 0.247 0.247 0.000
O5 0.250 0.500 0.750
O6 0.250 0.750 0.500
O7 0.500 0.250 0.750
O8 0.500 0.750 0.250
O9 0.750 0.250 0.500
O10 0.750 0.500 0.250
O11 0.753 0.000 0.753
O12 0.753 0.753 0.000

Summary:
M_tot: 0.000 μB per formula unit
SG: No. 229
Calculated volume: 335 Å³/f.u.
Formation energy without anion corrections: -4554.0 kJ/mol of formula units

=====

Repeat the third record exactly.
Here is a relaxed structure of La3Zn2Cu from the Alexandria database. Energies are from GGA-PBE.

Unit cell a=8.321 b=8.321 c=3.738 alpha=90.00 beta=90.00 gamma=143.03
Fractional coordinates of all 6 atoms:
La1 0.000 0.000 0.000
La2 0.339 0.661 0.000
La3 0.661 0.339 0.000
Zn1 0.174 0.826 0.500
Zn2 0.826 0.174 0.500
Cu1 0.500 0.500 0.500

Summary:
M_tot: 0.000 μB per formula unit
Formation energy: -0.25 eV per atom
SG: No. 65
Calculated volume: 156 Å³/f.u.